The following is a GGA+U calculation of a relaxed structure of CaV2Pb2O7, from Alexandria.

The structure belongs to space group R32 (No. 155, hexagonal axes); the cell edges are 5.5966, 5.5966 and 22.8854 Å and the angles 90.00°, 90.00° and 120.00°. The asymmetric unit holds Ca at (0.0000, 0.0000, 0.0000), V at (0.0000, 0.0000, 0.4199), Pb at (0.0000, 0.0000, 0.2141), O at (0.0000, 0.0000, 0.5000) and O at (0.0011, 0.3129, 0.3988).

As for the total energy: -6.74 eV/atom.